A relaxed structure of Dy6Tl5Sn. Source: the Alexandria database, functional PBE-GGA.

Cell and atoms, written as extended XYZ:
```
12
Lattice="-3.765 -2.456 2.945 -0.604 -3.496 -8.600 7.964 -0.596 4.772" Properties=species:S:1:pos:R:3 pbc="T T T"
Tl 4.600 -2.325 3.934
Tl 5.094 -1.567 0.293
Tl 1.797 -3.274 -0.441
Tl -1.499 -4.981 -1.175
Tl -1.006 -4.223 -4.816
Sn 0.000 0.000 0.000
Dy 2.297 -1.138 1.983
Dy 4.118 -4.456 1.536
Dy -1.004 -2.829 1.257
Dy 4.598 -3.719 -2.139
Dy -0.523 -2.093 -2.419
Dy 1.298 -5.411 -2.866
```

## Properties
volume	326	Å³/cell
density of states at the Fermi level	0.587	states/eV per atom
formation energy from the elements	-4.62	eV/f.u.
VASP energy	-0.147	hartree per atom
mass density	10.77	g/cm3